No. 1
The following is a DFT calculation (GGA-PBE) of crystalline LaBe at its relaxed geometry.

Computed properties:
The calculation puts the formation energy at 90.47 kJ/mol of atoms. Its symmetry is No. 194. Its magnetic moment is 0.260 μB/atom. The relative energy among the computed polymorphs comes out at 897.9 meV per atom. The value obtained for the density of states at the Fermi level is 7.95 states/eV/cell.

```
LaBe
1.0
5.026 0.000 0.000
-2.513 4.352 0.000
0.000 0.000 5.895
La Be
2 2
Direct
0.333 0.667 0.750 La
0.667 0.333 0.250 La
0.333 0.667 0.250 Be
0.667 0.333 0.750 Be
```


No. 2
The following is a DFT calculation (GGA-PBE) of crystalline Pm5SmSn4 at its relaxed geometry.

Computed properties:
The calculation puts the formation energy at -54.19 kJ/mol of atoms. Its symmetry is No. 12. Its magnetic moment is 0.000 μB/atom. The value obtained for the density of states at the Fermi level is 6.55 states/eV/cell.

```
Pm5SmSn4
1.0
5.434 0.000 0.000
0.000 6.722 -2.775
-2.717 -3.572 10.374
Pm Sm Sn
5 1 4
Direct
0.834 0.674 0.667 Pm
0.834 0.161 0.668 Pm
0.166 0.839 0.332 Pm
0.500 0.500 0.000 Pm
0.166 0.326 0.333 Pm
0.500 0.000 0.000 Sm
0.325 0.899 0.649 Sn
0.992 0.734 0.983 Sn
0.675 0.101 0.351 Sn
0.008 0.266 0.017 Sn
```


No. 3
The following is a DFT calculation (GGA-PBE) of crystalline KIn2Se at its relaxed geometry.

Computed properties:
Its symmetry is No. 8. Its magnetic moment is 0.000 μB/atom. As for the uncorrected formation energy: -0.3722 eV per atom. The value obtained for the density of states at the Fermi level is 1.69 states/eV/cell.

```
KIn2Se
1.0
-3.961 -3.090 -2.733
-2.910 -4.881 0.643
-6.069 1.367 2.614
In K Se
2 1 1
Direct
0.981 0.981 0.952 In
0.724 0.724 0.890 In
0.513 0.513 0.457 K
0.282 0.282 0.202 Se
```


No. 4
The following is a DFT calculation (GGA-PBE) of crystalline TiSb2OsI at its relaxed geometry.

Computed properties:
Its symmetry is No. 123. Its magnetic moment is 0.678 μB/atom. As for the uncorrected formation energy: 1.3018 eV per atom. The relative energy among the computed polymorphs comes out at 285.6 meV per atom. The value obtained for the density of states at the Fermi level is 5.18 states/eV/cell.

```
TiSb2OsI
1.0
5.306 0.000 0.000
0.000 5.306 0.000
0.000 0.000 5.172
I Sb Os Ti
1 2 1 1
Direct
0.000 0.000 0.500 I
0.000 0.500 0.000 Sb
0.500 0.000 0.000 Sb
0.500 0.500 0.500 Os
0.000 0.000 0.000 Ti
```


No. 5
The following is a DFT calculation (GGA-PBE) of crystalline Mg2TcNiIr at its relaxed geometry.

Computed properties:
The calculation puts the formation energy at 82.90 kJ/mol of atoms. Its symmetry is No. 123. Its magnetic moment is 0.780 μB/atom. The value obtained for the density of states at the Fermi level is 4.37 states/eV/cell.

```
Mg2TcNiIr
1.0
-2.106 3.763 1.182
-3.321 -0.921 -2.987
-2.226 -2.240 3.166
Ni Mg Ir Tc
1 2 1 1
Direct
0.000 0.000 0.000 Ni
0.000 0.000 0.500 Mg
0.500 0.000 0.000 Mg
0.000 0.500 0.000 Ir
0.500 0.500 0.500 Tc
```


No. 6
The following is a DFT calculation (GGA-PBE) of crystalline CaHo2Cu2Si2 at its relaxed geometry.

Computed properties:
Its symmetry is No. 166. Its magnetic moment is 0.000 μB/atom. As for the uncorrected formation energy: -0.4383 eV per atom. The value obtained for the density of states at the Fermi level is 2.44 states/eV/cell.

```
CaHo2Cu2Si2
1.0
4.262 0.000 0.000
2.131 3.691 0.000
2.131 1.230 9.248
Ca Ho Cu Si
1 2 2 2
Direct
0.000 0.000 0.000 Ca
0.127 0.127 0.618 Ho
0.873 0.873 0.382 Ho
0.595 0.595 0.216 Cu
0.405 0.405 0.784 Cu
0.743 0.743 0.772 Si
0.257 0.257 0.228 Si
```


No. 7
The following is a DFT calculation (GGA-PBE) of crystalline ErLu2Nb at its relaxed geometry.

Computed properties:
The calculation puts the formation energy at 21.91 kJ/mol of atoms. Its symmetry is No. 123. Its magnetic moment is 0.000 μB/atom. The value obtained for the density of states at the Fermi level is 4.80 states/eV/cell.

```
ErLu2Nb
1.0
-3.420 -0.365 1.614
-0.228 -3.566 -1.291
3.099 -2.381 6.030
Nb Lu Er
1 2 1
Direct
0.500 0.500 0.000 Nb
0.000 0.000 0.787 Lu
0.000 0.000 0.213 Lu
0.500 0.500 0.500 Er
```


No. 8
The following is a DFT calculation (GGA-PBE) of crystalline HgPRuS2 at its relaxed geometry.

Computed properties:
Its symmetry is No. 123. Its magnetic moment is 0.583 μB/atom. As for the uncorrected formation energy: 1.6810 eV per atom. The relative energy among the computed polymorphs comes out at 1209.4 meV per atom. The value obtained for the density of states at the Fermi level is 6.23 states/eV/cell.

```
HgPRuS2
1.0
4.952 0.000 0.000
0.000 4.952 0.000
0.000 0.000 4.922
Ru S Hg P
1 2 1 1
Direct
0.500 0.500 0.500 Ru
0.000 0.500 0.000 S
0.500 0.000 0.000 S
0.000 0.000 0.000 Hg
0.000 0.000 0.500 P
```


No. 9
The following is a DFT calculation (GGA-PBE) of crystalline UTiSe2 at its relaxed geometry.

Computed properties:
Its symmetry is No. 166. Its magnetic moment is 1.148 μB/atom. As for the uncorrected formation energy: -0.4023 eV per atom. The relative energy among the computed polymorphs comes out at 545.3 meV per atom. The value obtained for the density of states at the Fermi level is 5.41 states/eV/cell.

```
UTiSe2
1.0
-3.559 -1.079 -0.185
-0.858 -3.621 0.137
-2.071 -1.093 8.723
U Se Ti
1 2 1
Direct
0.500 0.500 0.500 U
0.095 0.095 0.716 Se
0.905 0.905 0.284 Se
0.000 0.000 0.000 Ti
```


No. 10
The following is a DFT calculation (GGA-PBE) of crystalline BaCa3Ag4 at its relaxed geometry.

Computed properties:
The calculation puts the formation energy at -24.41 kJ/mol of atoms. Its symmetry is No. 229. Its magnetic moment is 0.000 μB/atom. The value obtained for the density of states at the Fermi level is 4.98 states/eV/cell.

```
BaCa3Ag4
1.0
6.243 0.000 -2.207
-3.121 5.406 -2.207
0.000 0.000 6.622
Ca Ba Ag
3 1 4
Direct
0.000 0.500 0.500 Ca
0.500 0.000 0.500 Ca
0.500 0.500 0.000 Ca
0.000 0.000 0.000 Ba
0.000 0.000 0.500 Ag
0.500 0.500 0.500 Ag
0.500 0.000 0.000 Ag
0.000 0.500 0.000 Ag
```


No. 11
The following is a DFT calculation (GGA-PBE) of crystalline RbCd6Sn3 at its relaxed geometry.

Computed properties:
The calculation puts the formation energy at 0.88 kJ/mol of atoms. Its symmetry is No. 14. Its magnetic moment is 0.000 μB/atom. The value obtained for the density of states at the Fermi level is 6.41 states/eV/cell.

```
RbCd6Sn3
1.0
8.236 0.000 0.000
0.000 7.243 -2.440
0.000 1.128 8.988
Rb Cd Sn
2 12 6
Direct
0.500 0.500 0.500 Rb
0.000 0.000 0.000 Rb
0.209 0.849 0.648 Cd
0.029 0.502 0.659 Cd
0.266 0.251 0.773 Cd
0.734 0.749 0.227 Cd
0.971 0.498 0.341 Cd
0.791 0.151 0.352 Cd
0.291 0.349 0.148 Cd
0.471 0.002 0.159 Cd
0.234 0.751 0.273 Cd
0.766 0.249 0.727 Cd
0.529 0.998 0.841 Cd
0.709 0.651 0.852 Cd
0.848 0.853 0.587 Sn
0.500 0.000 0.500 Sn
0.152 0.147 0.413 Sn
0.652 0.353 0.087 Sn
0.000 0.500 0.000 Sn
0.348 0.647 0.913 Sn
```


No. 12
The following is a DFT calculation (GGA-PBE) of crystalline Er3Ge3Ir2 at its relaxed geometry.

Computed properties:
The calculation puts the formation energy at -90.09 kJ/mol of atoms. Its symmetry is No. 63. Its magnetic moment is 0.000 μB/atom. The relative energy among the computed polymorphs comes out at 0.0 meV per atom. The value obtained for the density of states at the Fermi level is 6.04 states/eV/cell.

```
Er3Ge3Ir2
1.0
-0.049 -0.125 4.311
3.322 -3.959 -2.234
10.986 9.001 0.386
Er Ge Ir
6 6 4
Direct
0.916 0.831 0.390 Er
0.084 0.169 0.890 Er
0.916 0.831 0.110 Er
0.084 0.169 0.610 Er
0.643 0.286 0.250 Er
0.357 0.714 0.750 Er
0.623 0.246 0.465 Ge
0.377 0.754 0.965 Ge
0.623 0.246 0.035 Ge
0.377 0.754 0.535 Ge
0.346 0.692 0.250 Ge
0.654 0.308 0.750 Ge
0.800 0.600 0.897 Ir
0.200 0.400 0.397 Ir
0.800 0.600 0.603 Ir
0.200 0.400 0.103 Ir
```